Below is a geometry-optimized BeFe2HRu structure, with properties calculated at the PBE level.

Its total energy is -6.585 eV per atom. As for the crystal system: tetragonal. For the offset from the most stable computed form, the calculation gives 37 meV/atom.

```
data_BeFe2HRu
_cell_length_a 3.4935
_cell_length_b 3.4935
_cell_length_c 3.9097
_cell_angle_alpha 90.00
_cell_angle_beta 90.00
_cell_angle_gamma 90.00
_symmetry_space_group_name_H-M 'P 4/m m m'
_symmetry_Int_Tables_number 123
_symmetry_space_group_name_Hall '-P 4 2'
loop_
_atom_site_label
_atom_site_fract_x
_atom_site_fract_y
_atom_site_fract_z
Be1 0.0000 0.0000 0.0000
Fe1 0.0000 0.5000 0.5000
H1 0.0000 0.0000 0.5000
Ru1 0.5000 0.5000 0.0000
```


Below is a geometry-optimized BeW structure, with properties calculated at the PBE level.

Its total energy is -8.182 eV per atom. As for the crystal system: tetragonal. For the offset from the most stable computed form, the calculation gives 386 meV/atom. The energy of formation from the pure elements comes out at 158 meV/atom.

```
data_BeW
_cell_length_a 2.6866
_cell_length_b 2.6866
_cell_length_c 6.8335
_cell_angle_alpha 90.00
_cell_angle_beta 90.00
_cell_angle_gamma 90.00
_symmetry_space_group_name_H-M 'P 4/n m m'
_symmetry_Int_Tables_number 129
loop_
_symmetry_equiv_pos_as_xyz
'x,y,z'
'-x,-y,-z'
'-y+1/2,x,z'
'y+1/2,-x,-z'
'-x+1/2,-y+1/2,z'
'x+1/2,y+1/2,-z'
'y,-x+1/2,z'
'-y,x+1/2,-z'
'x+1/2,-y,-z'
'-x+1/2,y,z'
'-y,-x,-z'
'y,x,z'
'-x,y+1/2,-z'
'x,-y+1/2,z'
'y+1/2,x+1/2,-z'
'-y+1/2,-x+1/2,z'
loop_
_atom_site_label
_atom_site_fract_x
_atom_site_fract_y
_atom_site_fract_z
Be1 0.2500 0.2500 0.0796
W1 0.2500 0.2500 0.6707
```


Below is a geometry-optimized CePrHg3 structure, with properties calculated at the PBE level.

Its total energy is -2.695 eV per atom. As for the crystal system: orthorhombic. For the offset from the most stable computed form, the calculation gives 0 meV/atom. The energy of formation from the pure elements comes out at -371 meV/atom.

```
data_CePrHg3
_cell_length_a 3.5343
_cell_length_b 30.1427
_cell_length_c 5.0405
_cell_angle_alpha 90.00
_cell_angle_beta 90.00
_cell_angle_gamma 90.00
_symmetry_space_group_name_H-M 'C m c m'
_symmetry_Int_Tables_number 63
_symmetry_space_group_name_Hall '-C 2c 2'
loop_
_atom_site_label
_atom_site_fract_x
_atom_site_fract_y
_atom_site_fract_z
Ce1 0.0000 0.2132 0.2500
Pr1 0.0000 0.0738 0.7500
Hg1 0.0000 0.3238 0.2500
Hg2 0.0000 0.3789 0.7500
Hg3 0.0000 0.4760 0.7500
```


Below is a geometry-optimized SiTcB3 structure, with properties calculated at the PBE level.

Its total energy is -5.409 eV per atom. As for the crystal system: cubic. Its uncorrected formation energy is 1.75 eV per atom. For the offset from the most stable computed form, the calculation gives 442 meV/atom.

```
data_SiTcB3
_cell_length_a 3.8435
_cell_length_b 3.8435
_cell_length_c 3.8435
_cell_angle_alpha 90.00
_cell_angle_beta 90.00
_cell_angle_gamma 90.00
_symmetry_space_group_name_H-M 'P m -3 m'
_symmetry_Int_Tables_number 221
_symmetry_space_group_name_Hall '-P 4 2 3'
loop_
_atom_site_label
_atom_site_fract_x
_atom_site_fract_y
_atom_site_fract_z
Si1 0.0000 0.0000 0.0000
Tc1 0.5000 0.5000 0.5000
B1 0.0000 0.0000 0.5000
```


Below is a geometry-optimized Cu2HgTe structure, with properties calculated at the PBE level.

Its total energy is -2.635 eV per atom. As for the crystal system: orthorhombic. Its uncorrected formation energy is 0.27 eV per atom. For the offset from the most stable computed form, the calculation gives 165 meV/atom.

```
data_Cu2HgTe
_cell_length_a 3.7099
_cell_length_b 3.9998
_cell_length_c 5.2319
_cell_angle_alpha 90.00
_cell_angle_beta 90.00
_cell_angle_gamma 90.00
_symmetry_space_group_name_H-M 'P m m m'
_symmetry_Int_Tables_number 47
_symmetry_space_group_name_Hall '-P 2 2'
loop_
_atom_site_label
_atom_site_fract_x
_atom_site_fract_y
_atom_site_fract_z
Cu1 0.0000 0.0000 0.0000
Cu2 0.0000 0.5000 0.5000
Hg1 0.5000 0.0000 0.5000
Te1 0.5000 0.5000 0.0000
```


Below is a geometry-optimized CsK2AlP2 structure, with properties calculated at the PBE level.

Its total energy is -3.373 eV per atom. As for the crystal system: orthorhombic. The energy of formation from the pure elements comes out at -438 meV/atom.

```
data_CsK2AlP2
_cell_length_a 8.4794
_cell_length_b 13.5904
_cell_length_c 6.7250
_cell_angle_alpha 90.00
_cell_angle_beta 90.00
_cell_angle_gamma 90.00
_symmetry_space_group_name_H-M 'I b a m'
_symmetry_Int_Tables_number 72
_symmetry_space_group_name_Hall '-I 2 2c'
loop_
_atom_site_label
_atom_site_fract_x
_atom_site_fract_y
_atom_site_fract_z
Cs1 0.0000 0.0000 0.2500
K1 0.1796 0.3137 0.0000
Al1 0.0000 0.5000 0.2500
P1 0.1605 0.4114 0.5000
```